Record 1
A relaxed V2W2S7 crystal, computed with PBE.

```
V2W2S7
1.0
0.3497 -1.3505 6.0247
-2.4319 -5.6411 -1.1999
6.2440 0.0273 -0.4329
S W V
7 2 2
direct
0.2249 0.3855 0.3855 S
0.6961 0.4085 0.0257 S
0.3039 0.9743 0.5915 S
0.7751 0.6145 0.6145 S
0.6961 0.0257 0.4085 S
0.0000 0.0000 0.0000 S
0.3039 0.5915 0.9743 S
0.5000 0.6405 0.3595 W
0.5000 0.3595 0.6405 W
0.1570 0.7260 0.7260 V
0.8430 0.2740 0.2740 V
```

Symmetry: C2/m
Spin magnetization, μB per formula unit: 0.00
E_form (uncorrected), eV per atom: -0.460
ρ, Mg/m³: 5.1

---

Record 2
A relaxed Er2SbPb crystal, computed with PBE.

```
Er2SbPb
1.0
4.1536 0.0000 0.0000
2.0768 3.5971 0.0000
2.0768 1.1990 8.0667
Pb Er Sb
1 2 1
direct
0.4991 0.4991 0.5026 Pb
0.2570 0.2570 0.2289 Er
0.0760 0.0760 0.7719 Er
0.6678 0.6678 0.9966 Sb
```

Offset from the most stable computed form, meV/atom: 81
Symmetry: R3m
Spin magnetization, μB per formula unit: 0.00
E_form (uncorrected), eV per atom: -0.631
ρ, Mg/m³: 9.1

---

Record 3
A relaxed SrCuPtO5 crystal, computed with PBE.

```
SrCuPtO5
1.0
-5.0122 -1.7443 2.3480
1.0374 -2.6010 -5.0830
4.7667 -3.3538 4.2672
O Sr Pt Cu
10 2 2 2
direct
0.9181 0.0819 0.7500 O
0.0992 0.7134 0.9053 O
0.2578 0.3688 0.5601 O
0.2866 0.9008 0.5947 O
0.3688 0.2578 0.0601 O
0.7422 0.6312 0.4399 O
0.6312 0.7422 0.9399 O
0.7134 0.0992 0.4053 O
0.9008 0.2866 0.0947 O
0.0819 0.9181 0.2500 O
0.3418 0.6582 0.2500 Sr
0.6582 0.3418 0.7500 Sr
0.0000 0.0000 0.5000 Pt
0.0000 0.0000 0.0000 Pt
0.6841 0.3159 0.2500 Cu
0.3159 0.6841 0.7500 Cu
```

Symmetry: C2/c
Spin magnetization, μB per formula unit: 2.28
E_form (uncorrected), eV per atom: -1.028
ρ, Mg/m³: 6.7